[1]
## Ho3Co8Ni (GGA-PBE)

Data for crystalline Ho3Co8Ni at its relaxed geometry.

Properties
energy relative to the lowest polymorph listed for this composition: 0.0 meV/atom
space group: P6_3/mmc
final energy: -157.89 eV for the cell shown
DOS at the Fermi energy: 30.3 states/eV/cell
magnetization: 0.793 μB/atom

a = 4.931 Å, b = 4.931 Å, c = 16.403 Å
α = 90.00°, β = 90.00°, γ = 120.00°
Fractional coordinates of all 24 atoms:
Ho: 0.333 0.667 0.041
Ho: 0.333 0.667 0.250
Ho: 0.333 0.667 0.459
Ho: 0.667 0.333 0.541
Ho: 0.667 0.333 0.750
Ho: 0.667 0.333 0.959
Co: 0.000 0.000 0.250
Co: 0.000 0.000 0.750
Co: 0.166 0.333 0.629
Co: 0.166 0.333 0.871
Co: 0.166 0.834 0.629
Co: 0.166 0.834 0.871
Co: 0.333 0.166 0.129
Co: 0.333 0.166 0.371
Co: 0.333 0.667 0.750
Co: 0.667 0.333 0.250
Co: 0.667 0.834 0.629
Co: 0.667 0.834 0.871
Co: 0.834 0.166 0.129
Co: 0.834 0.166 0.371
Co: 0.834 0.667 0.129
Co: 0.834 0.667 0.371
Ni: 0.000 0.000 0.000
Ni: 0.000 0.000 0.500

***

[2]
## Ho12Co3Ni5 (GGA-PBE)

Data for crystalline Ho12Co3Ni5 at its relaxed geometry.

Properties
space group: Ia-3d
final energy: -411.37 eV for the cell shown
DOS at the Fermi energy: 76.8 states/eV/cell
magnetization: 0.000 μB/atom

a = 13.774 Å, b = 13.774 Å, c = 13.774 Å
α = 109.47°, β = 109.47°, γ = 109.47°
Fractional coordinates of all 80 atoms:
Ho: 0.045 0.220 0.127
Ho: 0.045 0.326 0.918
Ho: 0.082 0.627 0.408
Ho: 0.082 0.955 0.674
Ho: 0.092 0.720 0.674
Ho: 0.092 0.873 0.418
Ho: 0.127 0.045 0.220
Ho: 0.127 0.582 0.908
Ho: 0.174 0.220 0.592
Ho: 0.174 0.455 0.582
Ho: 0.220 0.127 0.045
Ho: 0.220 0.592 0.174
Ho: 0.280 0.326 0.908
Ho: 0.280 0.455 0.373
Ho: 0.326 0.908 0.280
Ho: 0.326 0.918 0.045
Ho: 0.373 0.280 0.455
Ho: 0.373 0.592 0.918
Ho: 0.408 0.082 0.627
Ho: 0.408 0.826 0.780
Ho: 0.418 0.092 0.873
Ho: 0.418 0.826 0.545
Ho: 0.455 0.373 0.280
Ho: 0.455 0.582 0.174
Ho: 0.545 0.418 0.826
Ho: 0.545 0.627 0.720
Ho: 0.582 0.174 0.455
Ho: 0.582 0.908 0.127
Ho: 0.592 0.174 0.220
Ho: 0.592 0.918 0.373
Ho: 0.627 0.408 0.082
Ho: 0.627 0.720 0.545
Ho: 0.674 0.082 0.955
Ho: 0.674 0.092 0.720
Ho: 0.720 0.545 0.627
Ho: 0.720 0.674 0.092
Ho: 0.780 0.408 0.826
Ho: 0.780 0.873 0.955
Ho: 0.826 0.545 0.418
Ho: 0.826 0.780 0.408
Ho: 0.873 0.418 0.092
Ho: 0.873 0.955 0.780
Ho: 0.908 0.127 0.582
Ho: 0.908 0.280 0.326
Ho: 0.918 0.045 0.326
Ho: 0.918 0.373 0.592
Ho: 0.955 0.674 0.082
Ho: 0.955 0.780 0.873
Co: 0.125 0.250 0.375
Co: 0.125 0.375 0.750
Co: 0.250 0.375 0.125
Co: 0.250 0.875 0.625
Co: 0.375 0.125 0.250
Co: 0.375 0.750 0.125
Co: 0.625 0.250 0.875
Co: 0.625 0.875 0.750
Co: 0.750 0.125 0.375
Co: 0.750 0.625 0.875
Co: 0.875 0.625 0.250
Co: 0.875 0.750 0.625
Ni: 0.000 0.000 0.000
Ni: 0.000 0.000 0.500
Ni: 0.000 0.500 0.000
Ni: 0.000 0.500 0.500
Ni: 0.125 0.750 0.875
Ni: 0.125 0.875 0.250
Ni: 0.250 0.125 0.875
Ni: 0.250 0.625 0.375
Ni: 0.375 0.250 0.625
Ni: 0.375 0.625 0.750
Ni: 0.500 0.000 0.000
Ni: 0.500 0.000 0.500
Ni: 0.500 0.500 0.000
Ni: 0.500 0.500 0.500
Ni: 0.625 0.375 0.250
Ni: 0.625 0.750 0.375
Ni: 0.750 0.375 0.625
Ni: 0.750 0.875 0.125
Ni: 0.875 0.125 0.750
Ni: 0.875 0.250 0.125

***

[3]
## HoCoNi4 (GGA-PBE)

Data for crystalline HoCoNi4 at its relaxed geometry.

Properties
space group: Pmma
final energy: -70.81 eV for the cell shown
DOS at the Fermi energy: 15.0 states/eV/cell
magnetization: 0.472 μB/atom

a = 6.937 Å, b = 3.754 Å, c = 6.333 Å
α = 90.00°, β = 90.00°, γ = 90.00°
Fractional coordinates of all 12 atoms:
Ho: 0.250 0.000 0.137
Ho: 0.750 0.000 0.863
Co: 0.250 0.000 0.726
Co: 0.750 0.000 0.274
Ni: 0.000 0.000 0.500
Ni: 0.056 0.500 0.800
Ni: 0.250 0.500 0.471
Ni: 0.444 0.500 0.800
Ni: 0.500 0.000 0.500
Ni: 0.556 0.500 0.200
Ni: 0.750 0.500 0.529
Ni: 0.944 0.500 0.200

***

[4]
## HoCoNi3 (GGA-PBE)

Data for crystalline HoCoNi3 at its relaxed geometry.

Properties
space group: Cmcm
final energy: -55.28 eV for the cell shown
DOS at the Fermi energy: 12.7 states/eV/cell
magnetization: 0.598 μB/atom

a = 7.166 Å, b = 7.166 Å, c = 4.310 Å
α = 90.00°, β = 90.00°, γ = 130.71°
Fractional coordinates of all 10 atoms:
Ho: 0.107 0.893 0.750
Ho: 0.893 0.107 0.250
Co: 0.336 0.664 0.750
Co: 0.664 0.336 0.250
Ni: 0.082 0.553 0.250
Ni: 0.447 0.918 0.250
Ni: 0.500 0.500 0.000
Ni: 0.500 0.500 0.500
Ni: 0.553 0.082 0.750
Ni: 0.918 0.447 0.750